Record 1
AlCuTcOs: relaxed, PBE-GGA.

Cell lengths 4.281, 4.281, 4.281 Å; angles 60.00, 60.00, 60.00 degrees
Atoms (fractional coordinates):
Al1 0.000 0.000 0.000
Cu1 0.250 0.250 0.250
Tc1 0.500 0.500 0.500
Os1 0.750 0.750 0.750

Properties
D(E_F) (states/eV/f.u.): 2.53
E_tot (eV for the cell shown): -29.6
Size of the total moment (μB per formula unit): 0.0
Energy relative to the elements (eV per atom): -0.050

=====

Record 2
UAlCuOs: relaxed, PBE-GGA.

Cell lengths 4.590, 4.590, 4.590 Å; angles 60.00, 60.00, 60.00 degrees
Atoms (fractional coordinates):
U1 0.000 0.000 0.000
Al1 0.500 0.500 0.500
Cu1 0.250 0.250 0.250
Os1 0.750 0.750 0.750

Properties
D(E_F) (states/eV/f.u.): 5.54
E_tot (eV for the cell shown): -30.4
Size of the total moment (μB per formula unit): 1.3
Energy relative to the elements (eV per atom): -0.004

=====

Record 3
YAl4Cu2Os: relaxed, PBE-GGA.

Cell lengths 9.314, 9.314, 9.314 Å; angles 25.87, 25.87, 25.87 degrees
Atoms (fractional coordinates):
Y1 0.000 0.000 0.000
Al1 0.133 0.133 0.133
Al2 0.405 0.405 0.405
Al3 0.595 0.595 0.595
Al4 0.867 0.867 0.867
Cu1 0.232 0.232 0.232
Cu2 0.768 0.768 0.768
Os1 0.500 0.500 0.500

Properties
D(E_F) (states/eV/f.u.): 2.97
E_tot (eV for the cell shown): -43.4
Size of the total moment (μB per formula unit): 0.0
Energy relative to the elements (eV per atom): -0.312

=====

Record 4
AlZnCuOs: relaxed, PBE-GGA.

Cell lengths 4.255, 4.255, 4.255 Å; angles 60.00, 60.00, 60.00 degrees
Atoms (fractional coordinates):
Al1 0.000 0.000 0.000
Zn1 0.500 0.500 0.500
Cu1 0.250 0.250 0.250
Os1 0.750 0.750 0.750

Properties
D(E_F) (states/eV/f.u.): 1.70
E_tot (eV for the cell shown): -20.6
Size of the total moment (μB per formula unit): 0.0
Energy relative to the elements (eV per atom): -0.063

=====

Record 5
Zr2AlCuOs: relaxed, PBE-GGA.

Cell lengths 4.981, 4.981, 4.737 Å; angles 90.00, 90.00, 90.00 degrees
Atoms (fractional coordinates):
Zr1 0.000 0.500 0.000
Zr2 0.500 0.000 0.000
Al1 0.000 0.000 0.500
Cu1 0.500 0.500 0.500
Os1 0.500 0.500 0.000

Properties
D(E_F) (states/eV/f.u.): 5.48
E_tot (eV for the cell shown): -33.2
Size of the total moment (μB per formula unit): 0.0
Energy relative to the elements (eV per atom): 0.598

=====

Record 6
Zr2Al5Cu2Os: relaxed, PBE-GGA.

Cell lengths 9.936, 9.936, 3.229 Å; angles 90.00, 90.00, 90.00 degrees
Atoms (fractional coordinates):
Zr1 0.177 0.323 0.000
Zr2 0.323 0.823 0.000
Zr3 0.677 0.177 0.000
Zr4 0.823 0.677 0.000
Al1 0.000 0.500 0.500
Al2 0.055 0.804 0.500
Al3 0.196 0.055 0.500
Al4 0.304 0.555 0.500
Al5 0.445 0.304 0.500
Al6 0.500 0.000 0.500
Al7 0.555 0.696 0.500
Al8 0.696 0.445 0.500
Al9 0.804 0.945 0.500
Al10 0.945 0.196 0.500
Cu1 0.129 0.629 0.000
Cu2 0.371 0.129 0.000
Cu3 0.629 0.871 0.000
Cu4 0.871 0.371 0.000
Os1 0.000 0.000 0.000
Os2 0.500 0.500 0.000

Properties
D(E_F) (states/eV/f.u.): 2.99
E_tot (eV for the cell shown): -118.0
Size of the total moment (μB per formula unit): 0.0
Energy relative to the elements (eV per atom): -0.378